(1)
## CaY2Co2 (GGA-PBE)

Data for a relaxed structure of CaY2Co2.

a = 4.570 Å, b = 4.570 Å, c = 11.192 Å
α = 90.00°, β = 90.00°, γ = 90.00°
Positions (direct):
Ca (0.000, 0.000, 0.000)
Ca (0.500, 0.500, 0.500)
Y (0.000, 0.500, 0.250)
Y (0.000, 0.500, 0.750)
Y (0.500, 0.000, 0.250)
Y (0.500, 0.000, 0.750)
Co (0.000, 0.000, 0.399)
Co (0.000, 0.000, 0.601)
Co (0.500, 0.500, 0.101)
Co (0.500, 0.500, 0.899)

Output
Its offset from the most stable computed form is 89.3 meV per atom. Its space group is I4/mmm (139). Its calculated formation energy is 0.100 eV per atom. The calculation puts the density of states at the Fermi level at 5.2 states/eV per cell. The size of the total moment comes out at 0.000 μB per atom.

---

(2)
## CaYCo2 (GGA-PBE)

Data for a relaxed structure of CaYCo2.

a = 3.270 Å, b = 3.270 Å, c = 7.972 Å
α = 90.00°, β = 90.00°, γ = 90.00°
Positions (direct):
Ca (0.000, 0.000, 0.000)
Y (0.500, 0.500, 0.598)
Co (0.000, 0.000, 0.363)
Co (0.500, 0.500, 0.261)

Output
Its offset from the most stable computed form is 208.7 meV per atom. Its space group is P4mm (99). Its calculated formation energy is 0.187 eV per atom. The calculation puts the density of states at the Fermi level at 5.5 states/eV per cell. The size of the total moment comes out at 0.718 μB per atom.

---

(3)
## CaYCo2 (GGA-PBE)

Data for a relaxed structure of CaYCo2.

a = 4.735 Å, b = 4.735 Å, c = 3.342 Å
α = 90.00°, β = 90.00°, γ = 90.00°
Positions (direct):
Ca (0.000, 0.000, 0.000)
Y (0.500, 0.500, 0.000)
Co (0.000, 0.500, 0.500)
Co (0.500, 0.000, 0.500)

Output
Its offset from the most stable computed form is 229.9 meV per atom. Its space group is P4/mmm (123). Its calculated formation energy is 0.209 eV per atom. The calculation puts the density of states at the Fermi level at 4.7 states/eV per cell. The size of the total moment comes out at 0.000 μB per atom.

---

(4)
## CaY2Co2 (GGA-PBE)

Data for a relaxed structure of CaY2Co2.

a = 4.842 Å, b = 4.842 Å, c = 10.617 Å
α = 90.00°, β = 90.00°, γ = 90.00°
Positions (direct):
Ca (0.000, 0.000, 0.000)
Ca (0.500, 0.500, 0.500)
Y (0.000, 0.000, 0.336)
Y (0.000, 0.000, 0.664)
Y (0.500, 0.500, 0.164)
Y (0.500, 0.500, 0.836)
Co (0.000, 0.500, 0.250)
Co (0.000, 0.500, 0.750)
Co (0.500, 0.000, 0.250)
Co (0.500, 0.000, 0.750)

Output
Its offset from the most stable computed form is 284.1 meV per atom. Its space group is I4/mmm (139). Its calculated formation energy is 0.294 eV per atom. The calculation puts the density of states at the Fermi level at 6.5 states/eV per cell. The size of the total moment comes out at 0.000 μB per atom.